Entry 1:
A geometry-optimized RbGe2Pt2 structure, computed with PBE.

Results
- Crystal system: tetragonal
- Space group: I4/mmm
- Relative energy among the computed polymorphs: 3.46 kcal/mol of atoms
- Energy of formation from the pure elements: -319.5 meV per atom

Unit cell a=4.4974 b=4.4974 c=6.7643 alpha=70.58 beta=70.58 gamma=90.00
With the nearest neighbours (Å) after each atom.
Fractional coordinates of all 5 atoms:
Pt (0.6556, 0.6556, 0.6888)  4 Ge 2.52
Pt (0.3444, 0.3444, 0.3112)  4 Ge 2.52
Ge (0.7500, 0.2500, 0.5000)  4 Pt 2.52
Ge (0.2500, 0.7500, 0.5000)  4 Pt 2.52
Rb (0.0000, 0.0000, 0.0000)  10 Pt 3.68-4.11, 8 Ge 3.74


Entry 2:
A geometry-optimized SrNi4Sb12 structure, computed with PBE.

Results
- Raw formation energy: -0.23 eV per atom
- Crystal system: cubic
- Space group: Im-3

Unit cell a=8.1002 b=8.1002 c=8.1002 alpha=109.47 beta=109.47 gamma=109.47
With the nearest neighbours (Å) after each atom.
Fractional coordinates of all 17 atoms:
Sb (0.5004, 0.1619, 0.3385)  2 Ni 2.61
Sb (0.1619, 0.6615, 0.8234)  2 Ni 2.61
Sb (0.4996, 0.8381, 0.6615)  2 Ni 2.61
Sb (0.8234, 0.1619, 0.6615)  2 Ni 2.61
Sb (0.3385, 0.1766, 0.8381)  2 Ni 2.61
Sb (0.1766, 0.8381, 0.3385)  2 Ni 2.61
Sb (0.6615, 0.8234, 0.1619)  2 Ni 2.61
Sb (0.8381, 0.3385, 0.1766)  2 Ni 2.61
Sb (0.8381, 0.6615, 0.4996)  2 Ni 2.61
Sb (0.1619, 0.3385, 0.5004)  2 Ni 2.61
Sb (0.6615, 0.4996, 0.8381)  2 Ni 2.61
Sb (0.3385, 0.5004, 0.1619)  2 Ni 2.61
Ni (0.0000, 0.5000, 0.0000)  6 Sb 2.61
Ni (0.0000, 0.0000, 0.5000)  6 Sb 2.61
Ni (0.5000, 0.0000, 0.0000)  6 Sb 2.61
Ni (0.5000, 0.5000, 0.5000)  6 Sb 2.61
Sr (0.0000, 0.0000, 0.0000)  12 Sb 3.51


Number 1: size of the total moment 0.00 μB per cell, E -23.9 eV for the cell shown, DOS(E_F) 2.13 states/eV/f.u.. Number 2: size of the total moment 0.00 μB per cell, E -78.2 eV for the cell shown, DOS(E_F) 10.07 states/eV/f.u..